# 1
Here is a geometry-optimized CsCu2C2O6 structure from the Alexandria database. Energies are from GGA-PBE.

Properties
Magnetization, Bohr magnetons per cell: 0.00
DOS at the Fermi energy, states/eV/cell: 2.895
Total energy, eV per atom: -6.4176
E_form (uncorrected), eV per atom: -1.2137

The structure in extended XYZ format:
```
11
Lattice="-0.459 -3.851 -3.433 -5.223 -5.093 2.469 -1.996 2.564 -3.754" Properties=species:S:1:pos:R:3 pbc="T T T"
O -6.037 -3.047 -2.967
O -1.641 -3.333 -1.752
O -5.093 -1.122 -2.270
O -4.798 -3.040 -1.105
O -2.585 -5.259 -2.449
Cs -1.228 -0.644 -3.594
O -2.880 -3.341 -3.614
Cu -3.393 -2.313 -0.110
C -5.327 -2.431 -2.135
C -2.351 -3.950 -2.584
Cu -4.286 -4.067 -4.609
```


# 2
Here is a geometry-optimized CsCu2PdC structure from the Alexandria database. Energies are from GGA-PBE.

Properties
Formation energy from the elements, eV/atom: 0.8772
Magnetization, Bohr magnetons per cell: 0.00
DOS at the Fermi energy, states/eV/cell: 1.147
Total energy, eV per atom: -3.8153

The structure in extended XYZ format:
```
5
Lattice="5.111 0.000 0.000 0.000 3.898 0.000 0.000 0.000 5.111" Properties=species:S:1:pos:R:3 pbc="T T T"
Cs 2.555 1.949 2.555
Cu 2.555 0.000 0.000
Pd 0.000 0.000 0.000
Cu 0.000 0.000 2.555
C 0.000 1.949 0.000
```


# 3
Here is a geometry-optimized CsDyC2O6 structure from the Alexandria database. Energies are from GGA-PBE.

Properties
Magnetization, Bohr magnetons per cell: 0.00
DOS at the Fermi energy, states/eV/cell: 0.000
Total energy, eV per atom: -7.4986
E_form (uncorrected), eV per atom: -2.1333

The structure in extended XYZ format:
```
20
Lattice="-0.702 -4.153 -4.970 6.464 -0.813 -0.004 -2.412 -3.755 6.004" Properties=species:S:1:pos:R:3 pbc="T T T"
O 1.299 -5.247 -3.183
Cs -1.809 -6.642 0.019
O 3.634 -4.940 -1.301
C -1.163 -4.707 2.570
O 1.072 -5.502 0.025
Cs 5.159 -2.079 1.011
O 1.921 -7.053 1.349
Dy 1.613 -3.732 -1.447
O 2.278 -3.219 1.005
O -0.665 -5.906 2.803
C 1.451 -6.756 0.176
O 4.043 -5.284 2.557
Dy 1.737 -4.989 2.477
O -0.693 -3.437 -1.527
O -0.284 -3.781 2.332
C 4.513 -4.013 -1.540
O 4.015 -2.815 -1.773
O 2.052 -3.473 4.213
C 1.899 -1.965 0.854
O 1.429 -1.667 -0.319
```


# 4
Here is a geometry-optimized CsEr6CI12 structure from the Alexandria database. Energies are from GGA-PBE.

Properties
Magnetization, Bohr magnetons per cell: 3.07
DOS at the Fermi energy, states/eV/cell: 3.010
Total energy, eV per atom: -4.0406
E_form (uncorrected), eV per atom: -1.2378

The structure in extended XYZ format:
```
20
Lattice="-0.432 -7.032 6.394 2.684 -7.969 -4.451 8.931 -1.828 2.724" Properties=species:S:1:pos:R:3 pbc="T T T"
I 8.546 -11.070 0.840
Er 8.843 -3.990 1.498
I 8.724 -7.003 -0.268
I 5.876 -4.316 1.271
I 5.545 -7.244 6.481
I 2.459 -9.825 4.935
I 2.439 -10.895 0.760
I 2.637 -5.759 3.827
I 5.307 -12.513 3.396
I 8.441 -9.966 5.069
Er 2.340 -12.839 3.169
Cs 5.591 -8.414 2.334
Er 2.052 -7.138 6.419
Er 9.131 -9.691 -1.752
Er 8.580 -7.643 6.951
C 0.000 0.000 0.000
I 5.638 -9.584 -1.814
I 2.742 -6.862 -0.401
I 8.744 -5.933 3.908
Er 2.603 -9.186 -2.284
```


# 5
Here is a geometry-optimized CsEr10C4I18 structure from the Alexandria database. Energies are from GGA-PBE.

Properties
Magnetization, Bohr magnetons per cell: 1.02
DOS at the Fermi energy, states/eV/cell: 2.354
Total energy, eV per atom: -4.5863
E_form (uncorrected), eV per atom: -1.2142

The structure in extended XYZ format:
```
33
Lattice="11.417 -0.070 0.078 -5.753 10.065 -0.090 -3.795 -3.051 10.369" Properties=species:S:1:pos:R:3 pbc="T T T"
I -0.611 2.095 5.163
I -0.609 8.775 1.674
I -2.438 3.928 8.472
C 0.463 0.080 2.013
I 3.302 0.546 5.122
Er -1.242 -0.246 3.334
I 0.247 4.184 1.588
Cs -4.774 3.507 5.139
I -1.434 6.398 5.234
I 2.479 4.849 5.193
I 7.440 -0.877 5.306
I 3.452 7.338 1.740
I 2.477 -1.831 8.683
I 4.306 3.016 1.884
Er -1.649 6.248 10.197
C 0.228 6.632 9.137
I -6.517 5.357 8.507
I -1.584 -0.394 8.616
Er 5.373 -1.832 7.507
I 8.386 1.587 1.849
Er -3.505 8.776 2.849
I 1.621 2.760 8.768
I -5.572 7.821 5.050
Er -0.270 1.564 -0.003
I 5.818 0.719 8.823
C 1.405 6.864 8.343
Er 0.255 4.913 7.372
Er 3.110 7.190 7.022
C 1.640 0.312 1.219
Er 3.517 0.696 0.160
I -3.950 6.225 1.533
Er 1.613 2.031 2.984
Er 2.138 5.380 10.360
```


# 6
Here is a geometry-optimized CsCF2 structure from the Alexandria database. Energies are from GGA-PBE.

Properties
Magnetization, Bohr magnetons per cell: 1.00
DOS at the Fermi energy, states/eV/cell: 5.988
Total energy, eV per atom: -3.1181
E_form (uncorrected), eV per atom: 0.3369

The structure in extended XYZ format:
```
4
Lattice="0.000 3.352 3.352 3.352 0.000 3.352 3.352 3.352 0.000" Properties=species:S:1:pos:R:3 pbc="T T T"
F 5.028 5.028 5.028
F 1.676 1.676 1.676
C 0.000 0.000 0.000
Cs 3.352 3.352 3.352
```


# 7
Here is a geometry-optimized CsCF3 structure from the Alexandria database. Energies are from GGA-PBE.

Properties
Magnetization, Bohr magnetons per cell: 1.59
DOS at the Fermi energy, states/eV/cell: 18.239
Total energy, eV per atom: -2.5064
E_form (uncorrected), eV per atom: 0.6319
Excess energy over the best structure of this formula in the dataset, meV/atom: 1329

The structure in extended XYZ format:
```
5
Lattice="4.734 0.000 0.000 0.000 4.734 0.000 0.000 0.000 4.734" Properties=species:S:1:pos:R:3 pbc="T T T"
F 0.000 0.000 2.367
C 2.367 2.367 2.367
F 0.000 2.367 0.000
Cs 0.000 0.000 0.000
F 2.367 0.000 0.000
```


# 8
Here is a geometry-optimized CsCF4 structure from the Alexandria database. Energies are from GGA-PBE.

Properties
Magnetization, Bohr magnetons per cell: 0.00
DOS at the Fermi energy, states/eV/cell: 1.964
Total energy, eV per atom: -4.4200
E_form (uncorrected), eV per atom: -1.4929

The structure in extended XYZ format:
```
12
Lattice="5.060 0.001 -1.404 -0.001 7.901 -0.008 -0.352 -0.010 9.340" Properties=species:S:1:pos:R:3 pbc="T T T"
F 0.836 4.971 8.858
F 3.991 2.192 6.601
F 4.207 0.000 6.584
F 0.889 1.243 -0.179
C 0.385 5.082 0.599
F 3.806 5.081 8.133
F 0.656 6.225 1.252
Cs 3.335 1.116 2.621
C 4.324 1.112 7.331
F 0.593 4.030 1.411
Cs 1.371 5.070 5.305
F 3.854 1.033 -0.940
```


# 9
Here is a geometry-optimized CsCF6 structure from the Alexandria database. Energies are from GGA-PBE.

Properties
Magnetization, Bohr magnetons per cell: 1.03
DOS at the Fermi energy, states/eV/cell: 10.408
Total energy, eV per atom: -3.9895
E_form (uncorrected), eV per atom: -1.3263

The structure in extended XYZ format:
```
8
Lattice="5.611 0.000 0.000 2.806 4.859 0.000 2.806 1.620 4.867" Properties=species:S:1:pos:R:3 pbc="T T T"
F 8.417 2.891 3.972
F 2.806 3.589 0.896
F 10.122 5.844 3.972
F 6.712 5.844 3.972
C 0.000 0.000 0.000
F 4.511 0.635 0.896
Cs 5.611 3.240 2.434
F 1.101 0.635 0.896
```


# 10
Here is a geometry-optimized Cs3CF structure from the Alexandria database. Energies are from GGA-PBE.

Properties
Magnetization, Bohr magnetons per cell: 2.00
DOS at the Fermi energy, states/eV/cell: 2.106
Total energy, eV per atom: -2.7876
E_form (uncorrected), eV per atom: -0.0565
Excess energy over the best structure of this formula in the dataset, meV/atom: 0

The structure in extended XYZ format:
```
5
Lattice="-3.817 4.230 1.076 -4.284 -3.904 0.152 0.835 -0.695 5.696" Properties=species:S:1:pos:R:3 pbc="T T T"
F 0.000 0.000 0.000
Cs -2.142 -1.952 0.076
Cs -1.909 2.115 0.538
C -3.633 -0.185 3.462
Cs 0.418 -0.347 2.848
```


# 11
Here is a geometry-optimized CsC3F structure from the Alexandria database. Energies are from GGA-PBE.

Properties
Magnetization, Bohr magnetons per cell: 6.00
DOS at the Fermi energy, states/eV/cell: 13.993
Total energy, eV per atom: -2.0944
E_form (uncorrected), eV per atom: 3.9849

The structure in extended XYZ format:
```
5
Lattice="-2.768 -1.309 -4.589 4.587 -2.193 -2.141 -1.316 -4.890 2.189" Properties=species:S:1:pos:R:3 pbc="T T T"
C -1.384 -0.654 -2.294
Cs 0.000 0.000 0.000
F 0.251 -4.196 -2.271
C -0.658 -2.445 1.094
C 2.293 -1.097 -1.071
```


# 12
Here is a geometry-optimized CsCF structure from the Alexandria database. Energies are from GGA-PBE.

Properties
Magnetization, Bohr magnetons per cell: 0.00
Total energy, eV per atom: -4.4901
E_form (uncorrected), eV per atom: -0.5072

The structure in extended XYZ format:
```
6
Lattice="-3.963 0.580 -1.734 -4.871 -3.635 -1.069 -5.289 -0.074 6.550" Properties=species:S:1:pos:R:3 pbc="T T T"
C -6.828 -1.707 1.294
F -6.082 -2.162 -0.559
Cs -3.841 -0.228 0.459
F -8.041 -0.966 4.306
Cs -10.282 -2.900 3.289
C -7.295 -1.421 2.453
```